Record 1
This record from the Alexandria database describes V2InMoH after structural relaxation. The functional is PBE.

The structure in CIF format:
```
data_V2InMoH
_symmetry_space_group_name_H-M 'P 4/m m m'
_symmetry_Int_Tables_number 123
_symmetry_space_group_name_Hall '-P 4 2'
_cell_length_a 3.9044
_cell_length_b 3.9044
_cell_length_c 4.3148
_cell_angle_alpha 90.00
_cell_angle_beta 90.00
_cell_angle_gamma 90.00
loop_
_atom_site_label
_atom_site_fract_x
_atom_site_fract_y
_atom_site_fract_z
_atom_site_occupancy
V1 0.0000 0.5000 0.0000 1
In1 0.0000 0.0000 0.5000 1
Mo1 0.5000 0.5000 0.5000 1
H1 0.0000 0.0000 0.0000 1
```

Output
Crystal system: tetragonal
Magnetic moment (μB per cell): 0.000
Raw total energy (eV per cell): -33.9

***

Record 2
This record from the Alexandria database describes ZrV2PdN after structural relaxation. The functional is PBE.

The structure in CIF format:
```
data_ZrV2PdN
_symmetry_space_group_name_H-M 'P 4/m m m'
_symmetry_Int_Tables_number 123
_symmetry_space_group_name_Hall '-P 4 2'
_cell_length_a 3.9408
_cell_length_b 3.9408
_cell_length_c 4.5223
_cell_angle_alpha 90.00
_cell_angle_beta 90.00
_cell_angle_gamma 90.00
loop_
_atom_site_label
_atom_site_fract_x
_atom_site_fract_y
_atom_site_fract_z
_atom_site_occupancy
Zr1 0.0000 0.0000 0.0000 1
V1 0.0000 0.5000 0.5000 1
Pd1 0.5000 0.5000 0.0000 1
N1 0.0000 0.0000 0.5000 1
```

Output
Crystal system: tetragonal
Magnetic moment (μB per cell): 0.183
E_form (uncorrected) (eV/atom): -0.714

***

Record 3
This record from the Alexandria database describes Li5Ga2Au12 after structural relaxation. The functional is PBE.

The structure in CIF format:
```
data_Li5Ga2Au12
_symmetry_space_group_name_H-M 'C 1 2/m 1'
_symmetry_Int_Tables_number 12
_cell_length_a 13.5455
_cell_length_b 7.5771
_cell_length_c 6.5372
_cell_angle_alpha 90.00
_cell_angle_beta 90.28
_cell_angle_gamma 90.00
loop_
_symmetry_equiv_pos_as_xyz
'x,y,z'
'-x,-y,-z'
'-x,y,-z'
'x,-y,z'
'x+1/2,y+1/2,z'
'-x+1/2,-y+1/2,-z'
'-x+1/2,y+1/2,-z'
'x+1/2,-y+1/2,z'
loop_
_atom_site_label
_atom_site_fract_x
_atom_site_fract_y
_atom_site_fract_z
_atom_site_occupancy
Li1 0.0000 0.0000 0.0000 1
Li2 0.1964 0.5000 0.5151 1
Li3 0.2420 0.0000 0.9244 1
Ga1 0.0000 0.2804 0.5000 1
Au1 0.0581 0.5000 0.2063 1
Au2 0.1053 0.0000 0.6109 1
Au3 0.1245 0.3039 0.8426 1
Au4 0.1669 0.1875 0.2529 1
```

Output
Crystal system: monoclinic
Energy of formation from the pure elements (eV per atom): -0.36
Magnetic moment (μB per cell): 0.000

***

Record 4
This record from the Alexandria database describes PO2F2 after structural relaxation. The functional is PBE.

The structure in CIF format:
```
data_PO2F2
_symmetry_space_group_name_H-M 'I 4/m m m'
_symmetry_Int_Tables_number 139
_symmetry_space_group_name_Hall '-I 4 2'
_cell_length_a 2.5581
_cell_length_b 2.5581
_cell_length_c 18.1154
_cell_angle_alpha 90.00
_cell_angle_beta 90.00
_cell_angle_gamma 90.00
loop_
_atom_site_label
_atom_site_fract_x
_atom_site_fract_y
_atom_site_fract_z
_atom_site_occupancy
P1 0.0000 0.0000 0.0000 1
O1 0.0000 0.5000 0.2500 1
F1 0.0000 0.0000 0.4182 1
```

Output
Crystal system: tetragonal
Magnetic moment (μB per cell): 0.000
E_form (uncorrected) (eV/atom): 0.290

***

Record 5
This record from the Alexandria database describes Pm6Bi2Sb3Te after structural relaxation. The functional is PBE.

The structure in CIF format:
```
data_Pm6Bi2Sb3Te
_symmetry_space_group_name_H-M 'C 1 2/m 1'
_symmetry_Int_Tables_number 12
_cell_length_a 19.6802
_cell_length_b 4.5171
_cell_length_c 9.0433
_cell_angle_alpha 90.00
_cell_angle_beta 103.28
_cell_angle_gamma 90.00
loop_
_symmetry_equiv_pos_as_xyz
'x,y,z'
'-x,-y,-z'
'-x,y,-z'
'x,-y,z'
'x+1/2,y+1/2,z'
'-x+1/2,-y+1/2,-z'
'-x+1/2,y+1/2,-z'
'x+1/2,-y+1/2,z'
loop_
_atom_site_label
_atom_site_fract_x
_atom_site_fract_y
_atom_site_fract_z
_atom_site_occupancy
Pm1 0.0016 0.0000 0.2445 1
Pm2 0.1653 0.5000 0.0863 1
Pm3 0.1682 0.5000 0.5798 1
Bi1 0.1662 0.0000 0.8322 1
Sb1 0.0000 0.5000 0.0000 1
Sb2 0.1663 0.0000 0.3336 1
Te1 0.0000 0.5000 0.5000 1
```

Output
Crystal system: monoclinic
Magnetic moment (μB per cell): 0.000
E_form (uncorrected) (eV/atom): -1.169

***

Record 6
This record from the Alexandria database describes SrMo2Se after structural relaxation. The functional is PBE.

The structure in CIF format:
```
data_SrMo2Se
_symmetry_space_group_name_H-M 'I 4/m m m'
_symmetry_Int_Tables_number 139
_symmetry_space_group_name_Hall '-I 4 2'
_cell_length_a 3.9187
_cell_length_b 3.9187
_cell_length_c 11.1002
_cell_angle_alpha 90.00
_cell_angle_beta 90.00
_cell_angle_gamma 90.00
loop_
_atom_site_label
_atom_site_fract_x
_atom_site_fract_y
_atom_site_fract_z
_atom_site_occupancy
Sr1 0.0000 0.0000 0.0000 1
Mo1 0.0000 0.5000 0.2500 1
Se1 0.0000 0.0000 0.5000 1
```

Output
Crystal system: tetragonal
Magnetic moment (μB per cell): 0.000
E_form (uncorrected) (eV/atom): 0.588

***

Record 7
This record from the Alexandria database describes RbCaPb2 after structural relaxation. The functional is PBE.

The structure in CIF format:
```
data_RbCaPb2
_symmetry_space_group_name_H-M 'F m -3 m'
_symmetry_Int_Tables_number 225
_symmetry_space_group_name_Hall '-F 4 2 3'
_cell_length_a 8.2764
_cell_length_b 8.2764
_cell_length_c 8.2764
_cell_angle_alpha 90.00
_cell_angle_beta 90.00
_cell_angle_gamma 90.00
loop_
_atom_site_label
_atom_site_fract_x
_atom_site_fract_y
_atom_site_fract_z
_atom_site_occupancy
Rb1 0.0000 0.0000 0.0000 1
Ca1 0.0000 0.0000 0.5000 1
Pb1 0.2500 0.2500 0.2500 1
```

Output
Crystal system: cubic
Energy of formation from the pure elements (eV per atom): -0.15
Magnetic moment (μB per cell): 0.000

***

Record 8
This record from the Alexandria database describes PaTeMo after structural relaxation. The functional is PBE.

The structure in CIF format:
```
data_PaTeMo
_symmetry_space_group_name_H-M 'P -6 m 2'
_symmetry_Int_Tables_number 187
_symmetry_space_group_name_Hall 'P -6 2'
_cell_length_a 4.6770
_cell_length_b 4.6770
_cell_length_c 3.5369
_cell_angle_alpha 90.00
_cell_angle_beta 90.00
_cell_angle_gamma 120.00
loop_
_atom_site_label
_atom_site_fract_x
_atom_site_fract_y
_atom_site_fract_z
_atom_site_occupancy
Pa1 0.0000 0.0000 0.0000 1
Te1 0.3333 0.6667 0.5000 1
Mo1 0.6667 0.3333 0.5000 1
```

Output
Crystal system: hexagonal
Magnetic moment (μB per cell): 0.000
E_form (uncorrected) (eV/atom): -0.117